VASP calculation (GGA-PBE) on a relaxed structure of YCoPtPb.

a = 4.7957 Å, b = 4.7957 Å, c = 4.7957 Å
α = 60.00°, β = 60.00°, γ = 60.00°
With the nearest neighbours (Å) after each atom.
Fractional coordinates of all 4 atoms:
Pt (0.2500, 0.2500, 0.2500)  4 Y 2.94, 4 Pb 2.94
Y (0.5000, 0.5000, 0.5000)  4 Co 2.94, 4 Pt 2.94
Co (0.7500, 0.7500, 0.7500)  4 Pb 2.94, 4 Y 2.94
Pb (0.0000, 0.0000, 0.0000)  4 Co 2.94, 4 Pt 2.94

Results
crystal system = cubic
space-group type = F-43m
calculated volume = 77.99 Å³ per cell
polymorph energy (0 for the lowest one) = 0 meV per atom


VASP calculation (GGA-PBE) on a relaxed structure of LiMgPa.

a = 5.0502 Å, b = 5.0502 Å, c = 5.0502 Å
α = 60.00°, β = 60.00°, γ = 60.00°
With the nearest neighbours (Å) after each atom.
Fractional coordinates of all 3 atoms:
Li (0.2500, 0.2500, 0.2500)  4 Pa 3.09
Pa (0.0000, 0.0000, 0.0000)  4 Mg 3.09, 4 Li 3.09
Mg (0.7500, 0.7500, 0.7500)  4 Pa 3.09

Results
crystal system = cubic
space-group type = F-43m
calculated volume = 91.08 Å³ per cell
polymorph energy (0 for the lowest one) = 413 meV per atom


VASP calculation (GGA-PBE) on a relaxed structure of SrPaNO.

a = 4.0914 Å, b = 6.1243 Å, c = 6.9551 Å
α = 90.00°, β = 90.00°, γ = 90.00°
With the nearest neighbours (Å) after each atom.
Fractional coordinates of all 8 atoms:
Sr (0.5000, 0.4871, 0.8306)  2 O 2.55-2.63, 2 N 2.60
Sr (0.5000, 0.9871, 0.1694)  2 O 2.55-2.63, 2 N 2.60
Pa (0.0000, 0.9922, 0.6697)  2 N 2.24-2.26, 2 O 2.31
Pa (0.0000, 0.4922, 0.3303)  2 N 2.24-2.26, 2 O 2.31
N (0.0000, 0.3590, 0.6298)  2 Pa 2.24-2.26
N (0.0000, 0.8590, 0.3702)  2 Pa 2.24-2.26
O (0.5000, 0.4157, 0.1924)  2 Pa 2.31, 1 Sr 2.55
O (0.5000, 0.9157, 0.8076)  2 Pa 2.31, 1 Sr 2.55

Results
crystal system = orthorhombic
space-group type = Pmc2_1
calculated volume = 174.28 Å³ per cell
polymorph energy (0 for the lowest one) = 136 meV per atom


VASP calculation (GGA-PBE) on a relaxed structure of DyHo.

a = 3.5974 Å, b = 3.5974 Å, c = 5.5989 Å
α = 90.00°, β = 90.00°, γ = 120.00°
With the nearest neighbours (Å) after each atom.
Fractional coordinates of all 2 atoms:
Ho (0.3333, 0.6667, 0.2500)  6 Dy 3.49, 6 Ho 3.60
Dy (0.6667, 0.3333, 0.7500)  6 Ho 3.49, 6 Dy 3.60

Results
ΔH_f (0 K) = 0.0058 eV/atom
crystal system = hexagonal
space-group type = P-6m2
calculated volume = 62.75 Å³ per cell
polymorph energy (0 for the lowest one) = 0 meV per atom


VASP calculation (GGA-PBE) on a relaxed structure of NbBPO.

a = 3.0832 Å, b = 6.6653 Å, c = 4.7763 Å
α = 90.00°, β = 90.00°, γ = 90.00°
With the nearest neighbours (Å) after each atom.
Fractional coordinates of all 8 atoms:
P (0.0000, 0.7373, 0.9235)  2 B 1.96
P (0.0000, 0.2627, 0.4235)  2 B 1.96
Nb (0.0000, 0.3621, 0.9248)  2 O 2.38, 3 P 2.47-2.50
Nb (0.0000, 0.6379, 0.4248)  2 O 2.38, 3 P 2.47-2.50
B (0.5000, 0.9008, 0.0359)  2 O 1.51-1.60
B (0.5000, 0.0992, 0.5359)  2 O 1.51-1.60
O (0.5000, 0.0930, 0.8697)  2 B 1.51-1.60
O (0.5000, 0.9070, 0.3697)  2 B 1.51-1.60

Results
crystal system = orthorhombic
space-group type = Pmc2_1
calculated volume = 98.15 Å³ per cell
polymorph energy (0 for the lowest one) = 0 meV per atom


VASP calculation (GGA-PBE) on a relaxed structure of SrBePt.

a = 4.6718 Å, b = 4.6718 Å, c = 4.6718 Å
α = 60.00°, β = 60.00°, γ = 60.00°
With the nearest neighbours (Å) after each atom.
Fractional coordinates of all 3 atoms:
Sr (0.7500, 0.7500, 0.7500)  4 Pt 2.86
Be (0.2500, 0.2500, 0.2500)  4 Pt 2.86
Pt (0.0000, 0.0000, 0.0000)  4 Be 2.86, 4 Sr 2.86

Results
crystal system = cubic
space-group type = F-43m
calculated volume = 72.10 Å³ per cell
polymorph energy (0 for the lowest one) = 34 meV per atom


VASP calculation (GGA-PBE) on a relaxed structure of RbPaAu.

a = 4.9900 Å, b = 4.9900 Å, c = 4.9900 Å
α = 60.00°, β = 60.00°, γ = 60.00°
With the nearest neighbours (Å) after each atom.
Fractional coordinates of all 3 atoms:
Au (0.5000, 0.5000, 0.5000)  4 Pa 3.06
Pa (0.2500, 0.2500, 0.2500)  4 Rb 3.06, 4 Au 3.06
Rb (0.0000, 0.0000, 0.0000)  4 Pa 3.06

Results
crystal system = cubic
space-group type = F-43m
total DFT energy (no corrections) = -3.5064 eV/atom
calculated volume = 87.86 Å³ per cell


VASP calculation (GGA-PBE) on a relaxed structure of ErCoGe.

a = 6.8252 Å, b = 4.2023 Å, c = 7.1570 Å
α = 90.00°, β = 90.00°, γ = 90.00°
With the nearest neighbours (Å) after each atom.
Fractional coordinates of all 12 atoms:
Co (0.8452, 0.2500, 0.0674)  4 Ge 2.45-2.56
Co (0.6548, 0.7500, 0.5674)  4 Ge 2.45-2.56
Co (0.3452, 0.2500, 0.4326)  4 Ge 2.45-2.56
Co (0.1548, 0.7500, 0.9326)  4 Ge 2.45-2.56
Ge (0.2961, 0.7500, 0.6017)  4 Co 2.45-2.56
Ge (0.2039, 0.2500, 0.1017)  4 Co 2.45-2.56
Ge (0.7039, 0.2500, 0.3983)  4 Co 2.45-2.56
Ge (0.7961, 0.7500, 0.8983)  4 Co 2.45-2.56
Er (0.0092, 0.2500, 0.6975)  4 Co 2.87-2.98, 6 Ge 2.93-3.18
Er (0.9908, 0.7500, 0.3025)  4 Co 2.87-2.98, 6 Ge 2.93-3.18
Er (0.4908, 0.7500, 0.1975)  4 Co 2.87-2.98, 6 Ge 2.93-3.18
Er (0.5092, 0.2500, 0.8025)  4 Co 2.87-2.98, 6 Ge 2.93-3.18

Results
crystal system = orthorhombic
space-group type = Pnma
total DFT energy (no corrections) = -6.1121 eV/atom
calculated volume = 205.27 Å³ per cell